# 1
{
  "formula": "CaMgBe2",
  "functional": "PBE-GGA",
  "state": "relaxed",
  "sg": "P4/mmm",
  "delta_e_f_kj_per_mol_fu": 149,
  "lattice_angstrom": [[3.355, 0.000, 0.000], [0.000, 3.355, 0.000], [0.000, 0.000, 6.538]],
  "species": ["Ca", "Mg", "Be", "Be"],
  "frac_coords": [[0.000, 0.000, 0.000], [0.000, 0.000, 0.500], [0.500, 0.500, 0.319], [0.500, 0.500, 0.681]]
}

# 2
{
  "formula": "Ca3MgBe2O6",
  "functional": "PBE-GGA",
  "state": "relaxed",
  "sg": "P-3m1",
  "raw_formation_energy_ev_per_atom": -2.62,
  "lattice_angstrom": [[5.400, 0.000, 0.000], [-2.700, 4.676, 0.000], [0.000, 0.000, 5.983]],
  "species": ["Ca", "Ca", "Ca", "Mg", "Be", "Be", "O", "O", "O", "O", "O", "O"],
  "frac_coords": [[0.000, 0.000, 0.000], [0.333, 0.667, 0.666], [0.667, 0.333, 0.334], [0.000, 0.000, 0.500], [0.333, 0.667, 0.245], [0.667, 0.333, 0.755], [0.173, 0.346, 0.282], [0.173, 0.827, 0.282], [0.346, 0.173, 0.718], [0.654, 0.827, 0.282], [0.827, 0.173, 0.718], [0.827, 0.654, 0.718]]
}

# 3
{
  "formula": "Ca2MgBe2Pd5",
  "functional": "PBE-GGA",
  "state": "relaxed",
  "sg": "P4/mbm",
  "delta_e_f_kj_per_mol_fu": -640,
  "lattice_angstrom": [[9.969, 0.000, 0.000], [0.000, 9.969, 0.000], [0.000, 0.000, 3.297]],
  "species": ["Ca", "Ca", "Ca", "Ca", "Mg", "Mg", "Be", "Be", "Be", "Be", "Pd", "Pd", "Pd", "Pd", "Pd", "Pd", "Pd", "Pd", "Pd", "Pd"],
  "frac_coords": [[0.177, 0.323, 0.000], [0.323, 0.823, 0.000], [0.677, 0.177, 0.000], [0.823, 0.677, 0.000], [0.000, 0.000, 0.000], [0.500, 0.500, 0.000], [0.122, 0.622, 0.000], [0.378, 0.122, 0.000], [0.622, 0.878, 0.000], [0.878, 0.378, 0.000], [0.000, 0.500, 0.500], [0.068, 0.781, 0.500], [0.219, 0.068, 0.500], [0.281, 0.568, 0.500], [0.432, 0.281, 0.500], [0.500, 0.000, 0.500], [0.568, 0.719, 0.500], [0.719, 0.432, 0.500], [0.781, 0.932, 0.500], [0.932, 0.219, 0.500]]
}

# 4
{
  "formula": "Ca2MgBe2Pt5",
  "functional": "PBE-GGA",
  "state": "relaxed",
  "sg": "P4/mbm",
  "delta_e_f_kj_per_mol_fu": -836,
  "lattice_angstrom": [[9.738, 0.000, 0.000], [0.000, 9.738, 0.000], [0.000, 0.000, 3.404]],
  "species": ["Ca", "Ca", "Ca", "Ca", "Mg", "Mg", "Be", "Be", "Be", "Be", "Pt", "Pt", "Pt", "Pt", "Pt", "Pt", "Pt", "Pt", "Pt", "Pt"],
  "frac_coords": [[0.177, 0.323, 0.000], [0.323, 0.823, 0.000], [0.677, 0.177, 0.000], [0.823, 0.677, 0.000], [0.000, 0.000, 0.000], [0.500, 0.500, 0.000], [0.121, 0.621, 0.000], [0.379, 0.121, 0.000], [0.621, 0.879, 0.000], [0.879, 0.379, 0.000], [0.000, 0.500, 0.500], [0.068, 0.782, 0.500], [0.218, 0.068, 0.500], [0.282, 0.568, 0.500], [0.432, 0.282, 0.500], [0.500, 0.000, 0.500], [0.568, 0.718, 0.500], [0.718, 0.432, 0.500], [0.782, 0.932, 0.500], [0.932, 0.218, 0.500]]
}

Total DFT energy (no corrections) per entry: -9.5; -76.3; -91.3; -103.8 eV per cell